LiMnVO4: relaxed, GGA+U.

Unit cell a=5.9273 b=5.9273 c=5.9273 alpha=117.17 beta=118.18 gamma=94.08
Atoms (fractional coordinates):
V (0.0000, 0.0000, 0.0000)
V (0.5000, 0.0000, 0.5000)
Li (0.1280, 0.3780, 0.7500)
O (0.7388, 0.2081, 0.9693)
Li (0.8720, 0.6220, 0.2500)
O (0.7152, 0.2323, 0.4829)
O (0.2612, 0.2306, 0.4693)
Mn (0.5000, 0.5000, 0.5000)
O (0.7505, 0.7677, 0.9829)
O (0.2612, 0.7919, 0.0307)
Mn (0.5000, 0.0000, 0.0000)
O (0.2495, 0.2323, 0.0171)
O (0.2848, 0.7677, 0.5171)
O (0.7388, 0.7694, 0.5307)

Calculated values
The excess energy over the best structure of this formula in the dataset is 0.065 eV per atom. The calculation puts the uncorrected energy at -7.146 eV per atom. For the size of the total moment, the calculation gives 5.00 μB/f.u.